The following is a DFT calculation (PBE) of a geometry-optimized CsPbBr2Cl structure.

Output
**Magnetic moment**: 0.00 μB per formula unit
**Uncorrected formation energy**: -1.3655 eV per atom
**ΔE to the lowest computed polymorph**: 7 meV per atom
**SG**: P4/mmm (123)
**E**: -3.316 eV per atom

Geometry as POSCAR:
```
CsPbBr2Cl
1.0
-0.763 3.108 5.087
4.819 -2.698 2.371
3.333 4.160 -2.041
Pb Cs Br Cl
1 1 2 1
direct
0.000 0.000 0.000 Pb
0.500 0.500 0.500 Cs
0.000 0.500 0.000 Br
0.500 0.000 0.000 Br
0.000 0.000 0.500 Cl
```